No. 1
The following is a PBE calculation of crystalline Zn2CdSiCl at its relaxed geometry, from Alexandria via LeMat-Bulk.

Unit cell a=5.1003 b=5.1003 c=5.0087 alpha=90.00 beta=90.00 gamma=90.00
Last column: nearest neighbours and their distance in Å.
Space group P4/mmm (No. 123)
Asymmetric unit:
Zn  0.0000  0.5000  0.0000  2 Cd 2.55
Cd  0.0000  0.0000  0.0000  2 Si 2.50, 4 Zn 2.55
Si  0.0000  0.0000  0.5000  2 Cd 2.50
Cl  0.5000  0.5000  0.5000  8 Zn 3.57, 4 Si 3.61

spin magnetization = 0.0 μB per cell
ΔE_f (raw) = 46 kJ/mol of atoms

=====

No. 2
The following is a PBE calculation of crystalline CaVS at its relaxed geometry, from Alexandria via LeMat-Bulk.

Unit cell a=3.9321 b=4.2558 c=14.9059 alpha=90.00 beta=90.00 gamma=90.00
Last column: nearest neighbours and their distance in Å.
Space group Immm (No. 71)
Asymmetric unit:
Ca  0.0000  0.0000  0.1599  5 S 2.84-2.90
V  0.0000  0.2852  0.5000  1 V 1.83
S  0.0000  0.0000  0.3507  2 V 2.54

energy above the lowest structure with this stoichiometry = 121.6 meV/atom
spin magnetization = 0.0 μB per cell
ΔE_f (raw) = -72 kJ/mol of atoms

=====

No. 3
The following is a PBE calculation of crystalline Na4H3F at its relaxed geometry, from Alexandria via LeMat-Bulk.

Unit cell a=4.7855 b=4.7855 c=4.7855 alpha=90.00 beta=90.00 gamma=90.00
Last column: nearest neighbours and their distance in Å.
Space group Pm-3m (No. 221)
Asymmetric unit:
Na  0.0000  0.0000  0.0000  6 H 2.39
Na  0.0000  0.5000  0.5000  2 F 2.39, 4 H 2.39
H  0.0000  0.0000  0.5000  6 Na 2.39
F  0.5000  0.5000  0.5000  6 Na 2.39

electronic total energy = -2.983 eV/atom
spin magnetization = 0.0 μB per cell